(1)
VASP calculation (GGA-PBE) on a relaxed Sm2SnRu crystal.

Results
- excess energy over the best structure of this formula in the dataset (eV per formula unit) = 0.27

Unit cell a=4.8119 b=4.8119 c=5.4380 alpha=90.00 beta=90.00 gamma=120.00
Space group P-3m1 (No. 164)
Inequivalent atoms, fractional coordinates:
Sm (0.3333, 0.6667, 0.2091) x2
Sn (0.0000, 0.0000, 0.5000) x1
Ru (0.0000, 0.0000, 0.0000) x1

---

(2)
VASP calculation (GGA-PBE) on a relaxed BaTa2Rh2 crystal.

Results
- excess energy over the best structure of this formula in the dataset (eV per formula unit) = 0.00

Unit cell a=4.500 b=4.500 c=11.387 alpha=90.00 beta=90.00 gamma=90.00
Space group I4/mmm (No. 139)
Inequivalent atoms, fractional coordinates:
Ba (0.000, 0.000, 0.000) x2
Ta (0.000, 0.500, 0.250) x4
Rh (0.000, 0.000, 0.362) x4

---

(3)
VASP calculation (GGA-PBE) on a relaxed In5Br crystal.

Results
- excess energy over the best structure of this formula in the dataset (eV per formula unit) = 0.22
- formation energy (no corrections) (meV/atom) = -84

Unit cell a=4.527 b=16.966 c=4.558 alpha=90.00 beta=90.00 gamma=90.00
Space group Cmmm (No. 65)
Inequivalent atoms, fractional coordinates:
In (0.000, 0.000, 0.000) x2
In (0.000, 0.175, 0.500) x4
In (0.000, 0.331, 0.000) x4
Br (0.000, 0.500, 0.500) x2

---

- Among the records above, which one has the lowest excess energy over the best structure of this formula in the dataset?
  BaTa2Rh2

---

What did the second record say?
VASP calculation (GGA-PBE) on a relaxed BaTa2Rh2 crystal.

Results
- excess energy over the best structure of this formula in the dataset (eV per formula unit) = 0.00

Unit cell a=4.500 b=4.500 c=11.387 alpha=90.00 beta=90.00 gamma=90.00
Space group I4/mmm (No. 139)
Inequivalent atoms, fractional coordinates:
Ba (0.000, 0.000, 0.000) x2
Ta (0.000, 0.500, 0.250) x4
Rh (0.000, 0.000, 0.362) x4

---

Please write out number 3 again, unchanged.
VASP calculation (GGA-PBE) on a relaxed In5Br crystal.

Results
- excess energy over the best structure of this formula in the dataset (eV per formula unit) = 0.22
- formation energy (no corrections) (meV/atom) = -84

Unit cell a=4.527 b=16.966 c=4.558 alpha=90.00 beta=90.00 gamma=90.00
Space group Cmmm (No. 65)
Inequivalent atoms, fractional coordinates:
In (0.000, 0.000, 0.000) x2
In (0.000, 0.175, 0.500) x4
In (0.000, 0.331, 0.000) x4
Br (0.000, 0.500, 0.500) x2

---

- Which value of excess energy over the best structure of this formula in the dataset does entry 3 give?
  0.22 eV per formula unit